Record 1
The following is a DFT calculation (PBE-GGA) of Nd2HfAs3Rh4 after structural relaxation.

Calculated values
Total DFT energy (no corrections) in eV per cell: -72.5
N(E_F) in states/eV per cell: 5.56

abc: 4.131 4.131 11.140
angles: 90.00 90.00 90.00
Element x y z (fractional)
Nd1 0.000 0.500 0.774
Rh1 0.000 0.500 0.356
Rh2 0.000 0.000 0.000
As1 0.500 0.000 0.866
Rh3 0.500 0.500 0.000
As2 0.000 0.500 0.134
Rh4 0.500 0.000 0.644
Hf1 0.500 0.500 0.500
As3 0.000 0.000 0.500
Nd2 0.500 0.000 0.226

Record 2
The following is a DFT calculation (PBE-GGA) of TcPtNO2 after structural relaxation.

Calculated values
Uncorrected formation energy in eV per atom: 0.269
N(E_F) in states/eV per cell: 5.95

abc: 3.779 3.779 4.142
angles: 90.00 90.00 90.00
Element x y z (fractional)
Tc1 0.000 0.000 0.000
O1 0.500 0.000 0.000
N1 0.000 0.000 0.500
Pt1 0.500 0.500 0.500
O2 0.000 0.500 0.000

Record 3
The following is a DFT calculation (PBE-GGA) of SrTe2S after structural relaxation.

Calculated values
Uncorrected formation energy in eV per atom: -0.430
N(E_F) in states/eV per cell: 1.28

abc: 6.365 6.365 9.162
angles: 69.67 69.67 90.00
Element x y z (fractional)
Te1 0.528 0.125 0.250
S1 0.500 0.500 0.000
Sr1 0.750 0.250 0.500
Te2 0.875 0.778 0.750
Te3 0.375 0.472 0.750
Te4 0.222 0.625 0.250
Sr2 0.000 0.000 0.000
S2 0.250 0.750 0.500

Record 4
The following is a DFT calculation (PBE-GGA) of Y3TlHS after structural relaxation.

Calculated values
Total DFT energy (no corrections) in eV per cell: -69.9
N(E_F) in states/eV per cell: 5.98

abc: 3.973 8.254 8.660
angles: 101.69 90.00 90.00
Element x y z (fractional)
H1 0.750 0.917 0.398
Y1 0.750 0.881 0.127
Tl1 0.250 0.174 0.252
Y2 0.750 0.183 0.539
S1 0.250 0.657 0.149
Y3 0.250 0.817 0.461
H2 0.250 0.083 0.602
Y4 0.250 0.119 0.873
Y5 0.250 0.565 0.826
S2 0.750 0.343 0.851
Tl2 0.750 0.826 0.748
Y6 0.750 0.435 0.174

Record 5
The following is a DFT calculation (PBE-GGA) of Nd4SmDyS8 after structural relaxation.

Calculated values
Uncorrected formation energy in eV per atom: -1.910
N(E_F) in states/eV per cell: 8.61

abc: 8.289 8.289 8.278
angles: 59.96 59.96 60.00
Element x y z (fractional)
Sm1 0.001 0.001 0.996
S1 0.224 0.761 0.255
Nd1 0.496 0.001 0.501
Nd2 0.625 0.625 0.126
S2 0.244 0.244 0.749
S3 0.761 0.224 0.255
S4 0.244 0.763 0.749
Dy1 0.375 0.375 0.874
Nd3 0.001 0.001 0.501
Nd4 0.001 0.496 0.501
S5 0.246 0.246 0.261
S6 0.761 0.761 0.255
S7 0.763 0.244 0.749
S8 0.758 0.758 0.726

Record 6
The following is a DFT calculation (PBE-GGA) of Ca2NdY after structural relaxation.

Calculated values
ΔE to the lowest computed polymorph in eV/atom: 0.1283
N(E_F) in states/eV per cell: 6.79

abc: 3.607 3.607 13.379
angles: 82.25 82.25 60.00
Each line ends with the local moment (μB).
Element x y z (fractional)
Nd1 0.500 0.500 0.500  -0.01
Y1 0.000 0.000 0.000  0.25
Ca1 0.087 0.087 0.739  0.01
Ca2 0.913 0.913 0.261  0.01

Record 7
The following is a DFT calculation (PBE-GGA) of AcScTe2 after structural relaxation.

Calculated values
ΔE to the lowest computed polymorph in eV/atom: 0.1980
Uncorrected formation energy in eV per atom: -1.091
N(E_F) in states/eV per cell: 2.39

abc: 3.945 5.488 5.488
angles: 90.00 90.00 90.00
Each line ends with the local moment (μB).
Element x y z (fractional)
Te1 0.000 0.500 0.000  -0.02
Sc1 0.500 0.500 0.500  0.68
Ac1 0.500 0.000 0.000  0.14
Te2 0.000 0.000 0.500  -0.02

Record 8
The following is a DFT calculation (PBE-GGA) of Be3TcF after structural relaxation.

Calculated values
ΔE to the lowest computed polymorph in eV/atom: 1.3724
Uncorrected formation energy in eV per atom: 1.071
N(E_F) in states/eV per cell: 5.07

abc: 4.234 4.234 4.234
angles: 90.00 90.00 90.00
Element x y z (fractional)
F1 0.500 0.500 0.500
Tc1 0.000 0.000 0.000
Be1 0.500 0.000 0.000
Be2 0.000 0.500 0.000
Be3 0.000 0.000 0.500

Record 9
The following is a DFT calculation (PBE-GGA) of Tb6HoSc2 after structural relaxation.

Calculated values
ΔE to the lowest computed polymorph in eV/atom: 0.0000
N(E_F) in states/eV per cell: 32.43

abc: 5.518 11.649 11.649
angles: 48.33 103.67 103.67
Element x y z (fractional)
Tb1 0.080 0.080 0.580
Tb2 0.333 0.670 0.503
Tb3 0.167 0.497 0.330
Ho1 0.250 0.250 0.750
Tb4 0.420 0.420 0.920
Tb5 0.341 0.003 0.170
Tb6 0.159 0.830 0.997
Tb7 0.580 0.580 0.080
Tb8 0.833 0.503 0.670
Tb9 0.659 0.997 0.830
Sc1 0.503 0.833 0.667
Ho2 0.750 0.750 0.250
Sc2 0.497 0.167 0.333
Tb10 0.920 0.920 0.420
Sc3 0.997 0.333 0.167
Sc4 0.003 0.667 0.833
Tb11 0.841 0.170 0.003
Tb12 0.667 0.330 0.497

Record 10
The following is a DFT calculation (PBE-GGA) of AcPmMgZn after structural relaxation.

Calculated values
ΔE to the lowest computed polymorph in eV/atom: 0.0439
N(E_F) in states/eV per cell: 3.72

abc: 5.495 5.495 5.495
angles: 60.00 60.00 60.00
Element x y z (fractional)
Pm1 0.750 0.750 0.750
Ac1 0.250 0.250 0.250
Zn1 0.500 0.500 0.500
Mg1 0.000 0.000 0.000

Record 11
The following is a DFT calculation (PBE-GGA) of Ag3PbCl2F6 after structural relaxation.

Calculated values
Uncorrected formation energy in eV per atom: -1.262
N(E_F) in states/eV per cell: 8.61

abc: 4.980 6.957 7.408
angles: 118.01 89.98 90.00
Element x y z (fractional)
F1 0.734 0.844 0.134
Ag1 0.000 0.500 0.000
F2 0.715 0.859 0.718
F3 0.285 0.141 0.282
Cl1 0.202 0.676 0.353
Pb1 0.500 0.000 0.000
Ag2 0.500 0.500 0.500
F4 0.734 0.291 0.134
Ag3 0.500 0.000 0.500
F5 0.266 0.156 0.866
Cl2 0.798 0.324 0.647
F6 0.266 0.709 0.866

Record 12
The following is a DFT calculation (PBE-GGA) of CeSi4Ir4 after structural relaxation.

Calculated values
Uncorrected formation energy in eV per atom: -0.677
N(E_F) in states/eV per cell: 19.57

abc: 4.116 8.766 8.766
angles: 90.00 90.00 90.00
Each line ends with the local moment (μB).
Element x y z (fractional)
Ir1 0.500 0.913 0.649  0.00
Si1 0.000 0.666 0.224  0.00
Ir2 0.000 0.413 0.149  0.00
Ir3 0.000 0.587 0.851  0.00
Ce1 0.000 0.000 0.000  1.07
Ce2 0.500 0.500 0.500  1.07
Si2 0.000 0.334 0.776  0.00
Si3 0.000 0.776 0.666  0.00
Si4 0.500 0.166 0.724  0.00
Ir4 0.500 0.087 0.351  0.00
Ir5 0.500 0.351 0.913  0.00
Ir6 0.500 0.649 0.087  0.00
Si5 0.500 0.276 0.166  0.00
Ir7 0.000 0.149 0.587  0.00
Si6 0.500 0.834 0.276  0.00
Ir8 0.000 0.851 0.413  0.00
Si7 0.000 0.224 0.334  0.00
Si8 0.500 0.724 0.834  0.00

Record 13
The following is a DFT calculation (PBE-GGA) of BaPuGe2O8 after structural relaxation.

Calculated values
Uncorrected formation energy in eV per atom: -1.981
N(E_F) in states/eV per cell: 6.15

abc: 5.145 5.145 9.346
angles: 74.02 74.02 60.00
Each line ends with the local moment (μB).
Element x y z (fractional)
O1 0.489 0.120 0.653  -0.09
O2 0.880 0.511 0.347  -0.09
O3 0.120 0.738 0.653  -0.09
O4 0.262 0.880 0.347  -0.09
Pu1 0.500 0.500 0.500  2.61
O5 0.738 0.489 0.653  -0.09
Ba1 0.000 0.000 0.000  0.00
Ge1 0.756 0.756 0.733  0.00
Ge2 0.244 0.244 0.267  0.00
O6 0.511 0.262 0.347  -0.09
O7 0.309 0.309 0.073  -0.02
O8 0.691 0.691 0.927  -0.02

Record 14
The following is a DFT calculation (PBE-GGA) of CaNdLuMg after structural relaxation.

Calculated values
Total DFT energy (no corrections) in eV per cell: -12.6
N(E_F) in states/eV per cell: 2.93

abc: 5.631 5.631 5.631
angles: 60.00 60.00 60.00
Element x y z (fractional)
Ca1 0.750 0.750 0.750
Mg1 0.000 0.000 0.000
Lu1 0.500 0.500 0.500
Nd1 0.250 0.250 0.250

Record 15
The following is a DFT calculation (PBE-GGA) of LaDy6Sc after structural relaxation.

Calculated values
ΔE to the lowest computed polymorph in eV/atom: 0.3468
N(E_F) in states/eV per cell: 13.81

abc: 5.986 5.986 9.230
angles: 90.10 114.50 110.96
Element x y z (fractional)
Dy1 0.152 0.064 0.705
Dy2 0.848 0.936 0.295
Dy3 0.301 0.636 0.937
Dy4 0.641 0.553 0.705
La1 0.500 0.000 0.500
Sc1 0.000 0.000 0.000
Dy5 0.359 0.447 0.295
Dy6 0.699 0.364 0.063

Record 16
The following is a DFT calculation (PBE-GGA) of PmPr4Y after structural relaxation.

Calculated values
ΔE to the lowest computed polymorph in eV/atom: 0.0000
N(E_F) in states/eV per cell: 15.37

abc: 7.676 7.676 7.676
angles: 46.32 46.32 46.32
Each line ends with the local moment (μB).
Element x y z (fractional)
Pm1 0.500 0.500 0.500  0.06
Pr1 0.166 0.166 0.166  0.06
Pr2 0.666 0.666 0.666  0.08
Y1 0.000 0.000 0.000  0.07
Pr3 0.834 0.834 0.834  0.06
Pr4 0.334 0.334 0.334  0.08

Record 17
The following is a DFT calculation (PBE-GGA) of Zn2Sb2Pb after structural relaxation.

Calculated values
Uncorrected formation energy in eV per atom: 0.141
N(E_F) in states/eV per cell: 2.02

abc: 4.673 4.673 6.671
angles: 69.50 69.50 90.00
Element x y z (fractional)
Zn1 0.396 0.396 0.208
Zn2 0.604 0.604 0.792
Sb1 0.750 0.250 0.500
Pb1 0.000 0.000 0.000
Sb2 0.250 0.750 0.500

Record 18
The following is a DFT calculation (PBE-GGA) of LiZr3Rh3 after structural relaxation.

Calculated values
Total DFT energy (no corrections) in eV per cell: -106.0
N(E_F) in states/eV per cell: 11.74

abc: 6.526 6.526 6.108
angles: 90.00 90.00 89.29
Element x y z (fractional)
Zr1 0.737 0.263 0.500
Li1 0.759 0.759 0.000
Li2 0.241 0.241 0.000
Rh1 0.500 0.000 0.247
Zr2 0.263 0.737 0.500
Rh2 0.500 0.000 0.753
Rh3 0.000 0.000 0.749
Rh4 0.000 0.000 0.251
Zr3 0.264 0.736 0.000
Zr4 0.244 0.244 0.500
Rh5 0.000 0.500 0.247
Zr5 0.756 0.756 0.500
Zr6 0.736 0.264 0.000
Rh6 0.000 0.500 0.753

Record 19
The following is a DFT calculation (PBE-GGA) of LiAc2Sb4Pd3 after structural relaxation.

Calculated values
Uncorrected formation energy in eV per atom: -0.885
N(E_F) in states/eV per cell: 2.69

abc: 4.701 4.701 10.965
angles: 90.00 90.00 90.00
Element x y z (fractional)
Pd1 0.500 0.000 0.875
Ac1 0.000 0.500 0.744
Sb1 0.000 0.000 0.000
Sb2 0.500 0.500 0.000
Sb3 0.000 0.500 0.370
Pd2 0.000 0.000 0.500
Ac2 0.500 0.000 0.256
Sb4 0.500 0.000 0.630
Pd3 0.000 0.500 0.125
Li1 0.500 0.500 0.500

Record 20
The following is a DFT calculation (PBE-GGA) of TcAsRu after structural relaxation.

Calculated values
ΔE to the lowest computed polymorph in eV/atom: 0.4178
N(E_F) in states/eV per cell: 3.38

abc: 6.730 6.427 2.878
angles: 83.32 71.54 25.14
Element x y z (fractional)
Tc1 0.338 0.338 0.662
As1 0.001 0.001 0.999
Ru1 0.661 0.661 0.339

Record 21
The following is a DFT calculation (PBE-GGA) of PrAs2Ir after structural relaxation.

Calculated values
ΔE to the lowest computed polymorph in eV/atom: 0.0000
N(E_F) in states/eV per cell: 0.52

abc: 4.098 4.098 6.135
angles: 70.49 70.49 60.00
Element x y z (fractional)
Pr1 0.500 0.500 0.500
Ir1 0.000 0.000 0.000
As1 0.273 0.273 0.181
As2 0.727 0.727 0.819

Record 22
The following is a DFT calculation (PBE-GGA) of TiGeAsSe2 after structural relaxation.

Calculated values
ΔE to the lowest computed polymorph in eV/atom: 0.0000
Uncorrected formation energy in eV per atom: -0.021
N(E_F) in states/eV per cell: 2.32

abc: 4.909 4.909 4.971
angles: 90.00 90.00 90.00
Element x y z (fractional)
As1 0.000 0.000 0.500
Se1 0.500 0.000 0.000
Ti1 0.000 0.000 0.000
Se2 0.000 0.500 0.000
Ge1 0.500 0.500 0.500

Record 23
The following is a DFT calculation (PBE-GGA) of PaZnCo after structural relaxation.

Calculated values
Total DFT energy (no corrections) in eV per cell: -37.6
N(E_F) in states/eV per cell: 4.79

abc: 3.788 3.523 8.293
angles: 102.26 90.00 90.00
Element x y z (fractional)
Pa1 0.250 0.906 0.812
Zn1 0.750 0.286 0.572
Zn2 0.250 0.714 0.428
Co1 0.750 0.441 0.882
Pa2 0.750 0.094 0.188
Co2 0.250 0.559 0.118

Record 24
The following is a DFT calculation (PBE-GGA) of Ac2InCu5 after structural relaxation.

Calculated values
Total DFT energy (no corrections) in eV per cell: -32.0
N(E_F) in states/eV per cell: 5.41

abc: 6.358 6.358 6.358
angles: 90.22 119.87 119.87
Element x y z (fractional)
Cu1 0.000 0.685 0.292
Ac1 0.500 0.737 0.237
Ac2 0.500 0.237 0.737
Cu2 0.607 0.292 0.292
Cu3 0.393 0.685 0.685
Cu4 0.000 0.298 0.298
In1 0.000 0.997 0.997
Cu5 0.000 0.292 0.685